No. 1
Compound: ThAgHg
Source: Alexandria
Functional: PBE
Structure: relaxed

Cell lengths 5.0028, 5.0028, 3.3649 Å; angles 90.00, 90.00, 120.00 degrees
Space group P-6m2 (No. 187)
Symmetry-distinct sites (fractional):
Th 0.0000 0.0000 0.0000 (multiplicity 1)
Ag 0.6667 0.3333 0.5000 (multiplicity 1)
Hg 0.3333 0.6667 0.5000 (multiplicity 1)

Summary:
- DFT formation energy (meV per atom) = -241

---

No. 2
Compound: Zr3TaCo
Source: Alexandria
Functional: PBE
Structure: relaxed

Cell lengths 4.778, 4.778, 4.778 Å; angles 90.00, 90.00, 90.00 degrees
Space group Pm-3m (No. 221)
Symmetry-distinct sites (fractional):
Zr 0.000 0.000 0.500 (multiplicity 3)
Ta 0.500 0.500 0.500 (multiplicity 1)
Co 0.000 0.000 0.000 (multiplicity 1)

Summary:
- distance to the lowest polymorph of the same formula (eV per atom) = 0.000
- DFT formation energy (meV per atom) = 464

---

No. 3
Compound: Al2TlW
Source: Alexandria
Functional: PBE
Structure: relaxed

Cell lengths 4.357, 4.357, 3.648 Å; angles 90.00, 90.00, 90.00 degrees
Space group P4/mmm (No. 123)
Symmetry-distinct sites (fractional):
Al 0.000 0.500 0.000 (multiplicity 2)
Tl 0.000 0.000 0.500 (multiplicity 1)
W 0.500 0.500 0.500 (multiplicity 1)

Summary:
- distance to the lowest polymorph of the same formula (eV per atom) = 0.262
- DFT formation energy (meV per atom) = 548

---

No. 4
Compound: Li4HgPb7
Source: Alexandria
Functional: PBE
Structure: relaxed

Cell lengths 14.508, 5.736, 9.518 Å; angles 90.00, 126.45, 90.00 degrees
Space group C2/m (No. 12)
Symmetry-distinct sites (fractional):
Li 0.041 0.000 0.227 (multiplicity 4)
Li 0.187 0.000 0.851 (multiplicity 4)
Hg 0.000 0.500 0.500 (multiplicity 2)
Pb 0.000 0.000 0.500 (multiplicity 2)
Pb 0.070 0.500 0.893 (multiplicity 4)
Pb 0.219 0.500 0.375 (multiplicity 4)
Pb 0.221 0.000 0.178 (multiplicity 4)

Summary:
- DFT formation energy (meV per atom) = -60

---

No. 5
Compound: CaCrRe2
Source: Alexandria
Functional: PBE
Structure: relaxed

Cell lengths 6.294, 6.294, 6.294 Å; angles 90.00, 90.00, 90.00 degrees
Space group Fm-3m (No. 225)
Symmetry-distinct sites (fractional):
Ca 0.000 0.000 0.000 (multiplicity 4)
Cr 0.000 0.000 0.500 (multiplicity 4)
Re 0.250 0.250 0.250 (multiplicity 8)

Summary:
- distance to the lowest polymorph of the same formula (eV per atom) = 0.378
- DFT formation energy (meV per atom) = 857

---

No. 6
Compound: NpPa2Ni9
Source: Alexandria
Functional: PBE
Structure: relaxed

Cell lengths 4.9064, 4.9064, 24.5981 Å; angles 90.00, 90.00, 120.00 degrees
Space group R-3m (No. 166, hexagonal axes)
Symmetry-distinct sites (fractional):
Np 0.0000 0.0000 0.0000 (multiplicity 3)
Pa 0.0000 0.0000 0.1382 (multiplicity 6)
Ni 0.0000 0.0000 0.3329 (multiplicity 6)
Ni 0.0000 0.0000 0.5000 (multiplicity 3)
Ni 0.9996 0.4998 0.0827 (multiplicity 18)

Summary:
- DFT formation energy (meV per atom) = -306

---

No. 7
Compound: Ac2Zn4Hg3Pb
Source: Alexandria
Functional: PBE
Structure: relaxed

Cell lengths 4.695, 4.695, 11.179 Å; angles 90.00, 90.00, 90.00 degrees
Space group P-4m2 (No. 115)
Symmetry-distinct sites (fractional):
Ac 0.000 0.500 0.237 (multiplicity 2)
Zn 0.000 0.000 0.000 (multiplicity 1)
Zn 0.000 0.500 0.643 (multiplicity 2)
Zn 0.500 0.500 0.000 (multiplicity 1)
Hg 0.000 0.500 0.877 (multiplicity 2)
Hg 0.500 0.500 0.500 (multiplicity 1)
Pb 0.000 0.000 0.500 (multiplicity 1)

Summary:
- DFT formation energy (meV per atom) = -303

---

No. 8
Compound: ScHg2F4
Source: Alexandria
Functional: PBE
Structure: relaxed

Cell lengths 4.074, 4.074, 16.681 Å; angles 90.00, 90.00, 90.00 degrees
Space group I4/mmm (No. 139)
Symmetry-distinct sites (fractional):
Sc 0.000 0.000 0.000 (multiplicity 2)
Hg 0.000 0.000 0.276 (multiplicity 4)
F 0.000 0.000 0.121 (multiplicity 4)
F 0.000 0.500 0.000 (multiplicity 4)

Summary:
- formation energy without anion corrections (eV per atom) = -2.511

---

No. 9
Compound: PmOsC
Source: Alexandria
Functional: PBE
Structure: relaxed

Cell lengths 3.4957, 3.4957, 4.7751 Å; angles 90.00, 90.00, 120.00 degrees
Space group P-6m2 (No. 187)
Symmetry-distinct sites (fractional):
Pm 0.0000 0.0000 0.0000 (multiplicity 1)
Os 0.6667 0.3333 0.5000 (multiplicity 1)
C 0.3333 0.6667 0.5000 (multiplicity 1)

Summary:
- distance to the lowest polymorph of the same formula (eV per atom) = 0.088
- DFT formation energy (meV per atom) = 66

---

No. 10
Compound: SiNiSe3
Source: Alexandria
Functional: PBE
Structure: relaxed

Cell lengths 15.227, 3.507, 10.231 Å; angles 90.00, 101.87, 90.00 degrees
Space group C2/m (No. 12)
Symmetry-distinct sites (fractional):
Si 0.081 0.000 0.262 (multiplicity 4)
Ni 0.104 0.500 0.950 (multiplicity 4)
Se 0.075 0.000 0.795 (multiplicity 4)
Se 0.129 0.500 0.405 (multiplicity 4)
Se 0.162 0.000 0.093 (multiplicity 4)

Summary:
- formation energy without anion corrections (eV per atom) = -0.344
- distance to the lowest polymorph of the same formula (eV per atom) = 0.000

---

No. 11
Compound: LiCd2Rh
Source: Alexandria
Functional: PBE
Structure: relaxed

Cell lengths 3.272, 3.272, 6.416 Å; angles 90.00, 90.00, 90.00 degrees
Space group P4mm (No. 99)
Symmetry-distinct sites (fractional):
Li 0.000 0.000 0.000 (multiplicity 1)
Cd 0.000 0.000 0.434 (multiplicity 1)
Cd 0.500 0.500 0.751 (multiplicity 1)
Rh 0.500 0.500 0.190 (multiplicity 1)

Summary:
- distance to the lowest polymorph of the same formula (eV per atom) = 0.151
- DFT formation energy (meV per atom) = -122

---

No. 12
Compound: Ho3HfZr4N8
Source: Alexandria
Functional: PBE
Structure: relaxed

Cell lengths 6.6213, 6.6213, 16.2942 Å; angles 90.00, 90.00, 120.00 degrees
Space group R-3m (No. 166, hexagonal axes)
Symmetry-distinct sites (fractional):
Ho 0.0000 0.5000 0.0000 (multiplicity 9)
Hf 0.0000 0.0000 0.0000 (multiplicity 3)
Zr 0.0000 0.0000 0.5000 (multiplicity 3)
Zr 0.0000 0.5000 0.5000 (multiplicity 9)
N 0.0000 0.0000 0.2451 (multiplicity 6)
N 0.0119 0.5060 0.7512 (multiplicity 18)

Summary:
- formation energy without anion corrections (eV per atom) = -1.735

---

Calculated total energy in eV/cell, matching the order above: -11.3, -42.3, -20.6, -69.3, -132.4, -262.9, -21.0, -64.0, -25.0, -93.5, -11.6, -456.7